DFT (PBE) results for a geometry-optimized ZnH3Pd structure.

- energy above the most stable polymorph in this dataset (meV/atom) = 316.3
- symmetry = No. 221

a = 3.514 Å, b = 3.514 Å, c = 3.514 Å
α = 90.00°, β = 90.00°, γ = 90.00°
Sites, in units of the cell vectors:
Zn 0.000 0.000 0.000
H 0.000 0.000 0.500
H 0.000 0.500 0.000
H 0.500 0.000 0.000
Pd 0.500 0.500 0.500



DFT (PBE) results for a geometry-optimized ZnHPd3 structure.

- energy above the most stable polymorph in this dataset (meV/atom) = 117.9
- symmetry = No. 194

a = 2.958 Å, b = 2.958 Å, c = 17.233 Å
α = 90.00°, β = 90.00°, γ = 120.00°
Sites, in units of the cell vectors:
Zn 0.000 0.000 0.000
Zn 0.000 0.000 0.500
H 0.333 0.667 0.250
H 0.667 0.333 0.750
Pd 0.000 0.000 0.250
Pd 0.000 0.000 0.750
Pd 0.333 0.667 0.113
Pd 0.333 0.667 0.387
Pd 0.667 0.333 0.613
Pd 0.667 0.333 0.887



DFT (PBE) results for a geometry-optimized ZnHPd3 structure.

- energy above the most stable polymorph in this dataset (meV/atom) = 927.7
- symmetry = No. 119

a = 9.496 Å, b = 9.496 Å, c = 9.496 Å
α = 150.87°, β = 150.87°, γ = 41.67°
Sites, in units of the cell vectors:
Zn 0.000 0.000 0.000
Zn 0.750 0.250 0.500
H 0.131 0.631 0.500
H 0.369 0.869 0.500
Pd 0.364 0.364 0.000
Pd 0.372 0.126 0.246
Pd 0.636 0.636 0.000
Pd 0.874 0.120 0.246
Pd 0.874 0.628 0.754
Pd 0.880 0.126 0.754



DFT (PBE) results for a geometry-optimized Zn3HPd structure.

- energy above the most stable polymorph in this dataset (meV/atom) = 553.8
- symmetry = No. 221

a = 4.852 Å, b = 4.852 Å, c = 4.852 Å
α = 90.00°, β = 90.00°, γ = 90.00°
Sites, in units of the cell vectors:
Zn 0.000 0.000 0.500
Zn 0.000 0.500 0.000
Zn 0.500 0.000 0.000
H 0.500 0.500 0.500
Pd 0.000 0.000 0.000



DFT (PBE) results for a geometry-optimized Zn2HPd structure.

- energy above the most stable polymorph in this dataset (meV/atom) = 0.0
- symmetry = No. 122

a = 6.086 Å, b = 6.086 Å, c = 5.271 Å
α = 90.00°, β = 90.00°, γ = 90.00°
Sites, in units of the cell vectors:
Zn 0.169 0.250 0.125
Zn 0.250 0.669 0.375
Zn 0.250 0.831 0.875
Zn 0.331 0.250 0.625
Zn 0.669 0.750 0.625
Zn 0.750 0.169 0.875
Zn 0.750 0.331 0.375
Zn 0.831 0.750 0.125
H 0.000 0.000 0.000
H 0.000 0.500 0.250
H 0.500 0.000 0.750
H 0.500 0.500 0.500
Pd 0.000 0.000 0.500
Pd 0.000 0.500 0.750
Pd 0.500 0.000 0.250
Pd 0.500 0.500 0.000



DFT (PBE) results for a geometry-optimized ZnH4Pd8 structure.

- VASP energy (eV/atom) = -4.470
- symmetry = No. 2

a = 2.881 Å, b = 7.458 Å, c = 7.629 Å
α = 66.86°, β = 89.74°, γ = 78.91°
Sites, in units of the cell vectors:
Zn 0.000 0.000 0.000
H 0.289 0.440 0.187
H 0.353 0.299 0.556
H 0.647 0.701 0.444
H 0.711 0.560 0.813
Pd 0.142 0.716 0.663
Pd 0.184 0.628 0.326
Pd 0.338 0.325 0.001
Pd 0.484 0.034 0.684
Pd 0.516 0.966 0.316
Pd 0.662 0.675 0.999
Pd 0.816 0.372 0.674
Pd 0.858 0.284 0.337



DFT (PBE) results for a geometry-optimized Zn2HPd structure.

- energy above the most stable polymorph in this dataset (meV/atom) = 260.8
- symmetry = No. 225

a = 5.966 Å, b = 5.966 Å, c = 5.966 Å
α = 90.00°, β = 90.00°, γ = 90.00°
Sites, in units of the cell vectors:
Zn 0.250 0.250 0.250
Zn 0.250 0.250 0.750
Zn 0.250 0.750 0.250
Zn 0.250 0.750 0.750
Zn 0.750 0.250 0.250
Zn 0.750 0.250 0.750
Zn 0.750 0.750 0.250
Zn 0.750 0.750 0.750
H 0.000 0.000 0.000
H 0.000 0.500 0.500
H 0.500 0.000 0.500
H 0.500 0.500 0.000
Pd 0.000 0.000 0.500
Pd 0.000 0.500 0.000
Pd 0.500 0.000 0.000
Pd 0.500 0.500 0.500



DFT (PBE) results for a geometry-optimized ZnHPd3 structure.

- energy above the most stable polymorph in this dataset (meV/atom) = 276.4
- symmetry = No. 160

a = 7.807 Å, b = 7.807 Å, c = 3.925 Å
α = 90.00°, β = 90.00°, γ = 120.00°
Sites, in units of the cell vectors:
Zn 0.000 0.000 0.000
Zn 0.333 0.667 0.667
Zn 0.667 0.333 0.333
H 0.000 0.000 0.493
H 0.333 0.667 0.160
H 0.667 0.333 0.826
Pd 0.203 0.406 0.173
Pd 0.203 0.797 0.173
Pd 0.261 0.130 0.506
Pd 0.536 0.072 0.839
Pd 0.536 0.464 0.839
Pd 0.594 0.797 0.173
Pd 0.870 0.130 0.506
Pd 0.870 0.739 0.506
Pd 0.928 0.464 0.839



Size of the total moment, record by record: 0.741; 0.000; 0.000; 0.679; 0.000; 0.000; 0.000; 0.000 μB/f.u.